Record 1
The following is a DFT calculation (PBE) of crystalline Ba2NaInRh at its relaxed geometry.

Summary:
DFT total energy: -3.2915 eV per atom
Formation enthalpy at 0 K: -0.241 eV/atom
Space group: P4/mmm

Lattice parameters (Å, degrees): 6.091 6.091 5.303 90.00 90.00 90.00
Positions (direct):
Ba: 0.000 0.500 0.000
Ba: 0.500 0.000 0.000
In: 0.000 0.000 0.500
Na: 0.500 0.500 0.500
Rh: 0.000 0.000 0.000

Record 2
The following is a DFT calculation (PBE) of crystalline BaNaIn2S4 at its relaxed geometry.

Summary:
Formation energy (no corrections): -0.90 eV per atom
DFT total energy: -4.0499 eV per atom
Space group: I222

Lattice parameters (Å, degrees): 7.211 6.558 6.558 65.58 56.65 56.65
Positions (direct):
Ba: 0.000 0.000 0.000
In: 0.777 0.723 0.723
S: 0.098 0.925 0.456
S: 0.479 0.075 0.544
S: 0.902 0.544 0.075
Na: 0.500 0.500 0.500
S: 0.521 0.456 0.925
In: 0.223 0.277 0.277